A relaxed structure of CrAgOs2Au. Source: Alexandria, functional PBE.

Its total DFT energy (no corrections) is -0.1937 Ha/atom. For the formation energy, the calculation gives 2.37 eV per atom. As for the space-group type: No. 123.

POSCAR file:
```
CrAgOs2Au
1.0
4.937 0.000 0.000
0.000 4.937 0.000
0.000 0.000 4.969
Cr Ag Os Au
1 1 2 1
Direct
0.000 0.000 0.000
0.500 0.500 0.000
0.000 0.500 0.500
0.500 0.000 0.500
0.500 0.500 0.500
```

---

A relaxed structure of AsRhIO2. Source: Alexandria, functional PBE.

Its uncorrected formation energy is 0.037 eV/atom. Its total DFT energy (no corrections) is -0.1711 Ha/atom. The calculation puts the energy above the most stable polymorph in this dataset at 0 meV per atom. As for the space-group type: No. 123.

POSCAR file:
```
AsRhIO2
1.0
3.766 0.000 0.000
0.000 3.766 0.000
0.000 0.000 6.438
As Rh I O
1 1 1 2
Direct
0.000 0.000 0.000
0.500 0.500 0.500
0.000 0.000 0.500
0.000 0.500 0.000
0.500 0.000 0.000
```

---

A relaxed structure of CdIn2Ni. Source: Alexandria, functional PBE.

Its total DFT energy (no corrections) is -0.1074 Ha/atom. For the formation energy, the calculation gives 0.12 eV per atom. As for the space-group type: No. 10.

POSCAR file:
```
CdIn2Ni
1.0
3.776 0.000 0.000
0.000 4.260 0.000
-1.158 0.000 5.361
Cd In Ni
1 2 1
Direct
0.000 0.000 0.000
0.344 0.500 0.724
0.656 0.500 0.276
0.000 0.000 0.500
```

---

A relaxed structure of Fe3CoNi. Source: Alexandria, functional PBE.

Its total DFT energy (no corrections) is -0.2776 Ha/atom. The calculation puts the energy above the most stable polymorph in this dataset at 40 meV per atom. For the formation energy, the calculation gives 0.10 eV per atom. As for the space-group type: No. 11.

POSCAR file:
```
Fe3CoNi
1.0
3.965 0.000 0.000
0.000 4.910 0.000
-1.967 0.000 5.970
Fe Co Ni
6 2 2
Direct
0.102 0.004 0.204
0.102 0.496 0.204
0.306 0.250 0.613
0.694 0.750 0.387
0.898 0.504 0.796
0.898 0.996 0.796
0.493 0.750 0.986
0.507 0.250 0.014
0.296 0.750 0.592
0.704 0.250 0.408
```

---

| no. | DOS at the Fermi energy (states/eV per atom) |
| --- | --- |
| 1 | 1.16 |
| 2 | 0.95 |
| 3 | 0.35 |
| 4 | 1.16 |